Entry 1:
! PBE-GGA La3NdY6Tm2, optimized geometry; values from VASP
! **Total energy**: -5.59 eV/atom
! **M_tot**: 0.000 μB/atom
! **Energy of formation from the pure elements**: 0.021 eV/atom
&SYSTEM
  ibrav = 0, nat = 12, ntyp = 4
/
ATOMIC_SPECIES
La 138.91 La.upf
Nd 144.24 Nd.upf
Y 88.91 Y.upf
Tm 168.93 Tm.upf
CELL_PARAMETERS angstrom
-0.836 5.234 -3.321
-3.280 -5.142 -1.388
-7.064 3.342 9.007
ATOMIC_POSITIONS crystal
La 0.167 0.833 0.500
La 0.833 0.167 0.500
La 0.500 0.500 0.500
Nd 0.000 0.000 0.000
Y 0.918 0.584 0.755
Y 0.747 0.747 0.245
Y 0.082 0.416 0.245
Y 0.584 0.918 0.755
Y 0.253 0.253 0.755
Y 0.416 0.082 0.245
Tm 0.333 0.667 0.000
Tm 0.667 0.333 0.000

***

Entry 2:
! PBE-GGA Li2HoH4, optimized geometry; values from VASP
! **Total energy**: -3.29 eV/atom
! **M_tot**: 0.000 μB/atom
&SYSTEM
  ibrav = 0, nat = 7, ntyp = 3
/
ATOMIC_SPECIES
H 1.01 H.upf
Ho 164.93 Ho.upf
Li 6.94 Li.upf
CELL_PARAMETERS angstrom
4.129 0.000 0.000
0.000 4.129 0.000
2.064 2.064 5.623
ATOMIC_POSITIONS crystal
H 0.813 0.813 0.374
H 0.187 0.187 0.626
H 0.000 0.500 0.000
H 0.500 0.000 0.000
Ho 0.000 0.000 0.000
Li 0.658 0.658 0.684
Li 0.342 0.342 0.316

***

Entry 3:
! PBE-GGA CuNi2Rh, optimized geometry; values from VASP
! **Total energy**: -5.70 eV/atom
! **M_tot**: 0.470 μB/atom
! **Energy of formation from the pure elements**: 0.049 eV/atom
&SYSTEM
  ibrav = 0, nat = 4, ntyp = 3
/
ATOMIC_SPECIES
Ni 58.69 Ni.upf
Rh 102.91 Rh.upf
Cu 63.55 Cu.upf
CELL_PARAMETERS angstrom
-1.445 -1.080 -4.080
1.079 -1.769 -3.951
-1.184 -4.216 0.654
ATOMIC_POSITIONS crystal
Ni 0.002 0.002 0.004
Ni 0.748 0.748 0.749
Rh 0.497 0.497 0.510
Cu 0.253 0.253 0.237

***

Entry 4:
! PBE-GGA Ba2MnNi, optimized geometry; values from VASP
! **Total energy**: -4.33 eV/atom
! **M_tot**: 1.068 μB/atom
! **ΔE to the lowest computed polymorph**: 92 meV/atom
! **Energy of formation from the pure elements**: 0.367 eV/atom
&SYSTEM
  ibrav = 0, nat = 4, ntyp = 3
/
ATOMIC_SPECIES
Ba 137.33 Ba.upf
Mn 54.94 Mn.upf
Ni 58.69 Ni.upf
CELL_PARAMETERS angstrom
-2.821 -1.922 1.196
0.572 -2.454 -2.595
5.678 -4.756 5.749
ATOMIC_POSITIONS crystal
Ba 0.000 0.000 0.916
Ba 0.500 0.500 0.335
Mn 0.000 0.000 0.592
Ni 0.500 0.500 0.656

***

Entry 5:
! PBE-GGA PaTcAgO6, optimized geometry; values from VASP
! **Total energy**: -7.64 eV/atom
! **M_tot**: 0.000 μB/atom
! **Formation energy from raw total energies**: -1.813 eV per atom
&SYSTEM
  ibrav = 0, nat = 18, ntyp = 4
/
ATOMIC_SPECIES
Pa 231.04 Pa.upf
Tc 98.00 Tc.upf
Ag 107.87 Ag.upf
O 16.00 O.upf
CELL_PARAMETERS angstrom
-6.087 5.213 -0.877
-2.554 -3.930 -5.638
1.297 -3.596 6.686
ATOMIC_POSITIONS crystal
Pa 0.500 0.000 0.500
Pa 0.000 0.000 0.500
Tc 0.500 0.500 0.000
Tc 0.500 0.000 0.000
Ag 0.961 0.711 0.923
Ag 0.039 0.289 0.077
O 0.460 0.710 0.920
O 0.839 0.089 0.678
O 0.791 0.075 0.241
O 0.450 0.666 0.241
O 0.450 0.075 0.241
O 0.791 0.666 0.241
O 0.540 0.290 0.080
O 0.161 0.911 0.322
O 0.209 0.925 0.759
O 0.550 0.334 0.759
O 0.550 0.925 0.759
O 0.209 0.334 0.759

***

Entry 6:
! PBE-GGA NdY4Al2, optimized geometry; values from VASP
! **Total energy**: -5.19 eV/atom
! **M_tot**: 0.000 μB/atom
! **ΔE to the lowest computed polymorph**: 460 meV/atom
! **Energy of formation from the pure elements**: 0.249 eV/atom
&SYSTEM
  ibrav = 0, nat = 7, ntyp = 3
/
ATOMIC_SPECIES
Nd 144.24 Nd.upf
Y 88.91 Y.upf
Al 26.98 Al.upf
CELL_PARAMETERS angstrom
5.643 0.000 0.000
0.000 5.643 0.000
-2.821 -2.821 6.466
ATOMIC_POSITIONS crystal
Nd 0.000 0.000 0.000
Y 0.750 0.250 0.500
Y 0.250 0.750 0.500
Y 0.500 0.000 0.000
Y 0.000 0.500 0.000
Al 0.615 0.615 0.230
Al 0.385 0.385 0.770

***

Entry 7:
! PBE-GGA K3ScI6, optimized geometry; values from VASP
! **Total energy**: -3.27 eV/atom
! **M_tot**: 0.000 μB/atom
! **Formation energy from raw total energies**: -1.377 eV per atom
! **ΔE to the lowest computed polymorph**: 0 meV/atom
&SYSTEM
  ibrav = 0, nat = 20, ntyp = 3
/
ATOMIC_SPECIES
K 39.10 K.upf
Sc 44.96 Sc.upf
I 126.90 I.upf
CELL_PARAMETERS angstrom
-8.108 -3.736 4.207
5.160 -8.039 2.481
2.529 4.405 8.462
ATOMIC_POSITIONS crystal
K 0.082 0.574 0.245
K 0.245 0.082 0.574
K 0.426 0.755 0.918
K 0.574 0.245 0.082
K 0.755 0.918 0.426
K 0.918 0.426 0.755
Sc 0.000 0.000 0.000
Sc 0.500 0.500 0.500
I 0.063 0.723 0.916
I 0.084 0.937 0.277
I 0.215 0.437 0.549
I 0.277 0.084 0.937
I 0.437 0.549 0.215
I 0.451 0.785 0.563
I 0.549 0.215 0.437
I 0.563 0.451 0.785
I 0.723 0.916 0.063
I 0.785 0.563 0.451
I 0.916 0.063 0.723
I 0.937 0.277 0.084

***

Entry 8:
! PBE-GGA Ba2PaZn2O6, optimized geometry; values from VASP
! **Total energy**: -6.63 eV/atom
! **M_tot**: 0.093 μB/atom
! **Formation energy from raw total energies**: -2.485 eV per atom
&SYSTEM
  ibrav = 0, nat = 11, ntyp = 4
/
ATOMIC_SPECIES
Ba 137.33 Ba.upf
Pa 231.04 Pa.upf
Zn 65.41 Zn.upf
O 16.00 O.upf
CELL_PARAMETERS angstrom
6.140 0.000 0.000
-3.070 5.244 -0.300
0.000 -3.337 6.101
ATOMIC_POSITIONS crystal
Ba 0.716 0.432 0.180
Ba 0.284 0.568 0.820
Pa 0.500 0.000 0.500
Zn 0.951 0.902 0.791
Zn 0.049 0.098 0.209
O 0.732 0.464 0.589
O 0.201 0.885 0.231
O 0.316 0.115 0.769
O 0.799 0.115 0.769
O 0.684 0.885 0.231
O 0.268 0.536 0.411

***

Entry 9:
! PBE-GGA CrSb2Cl, optimized geometry; values from VASP
! **Total energy**: -4.83 eV/atom
! **M_tot**: 1.079 μB/atom
! **Formation energy from raw total energies**: 0.103 eV per atom
! **ΔE to the lowest computed polymorph**: 208 meV/atom
&SYSTEM
  ibrav = 0, nat = 4, ntyp = 3
/
ATOMIC_SPECIES
Sb 121.76 Sb.upf
Cl 35.45 Cl.upf
Cr 52.00 Cr.upf
CELL_PARAMETERS angstrom
3.586 0.000 0.000
0.000 3.586 0.000
0.000 0.000 7.834
ATOMIC_POSITIONS crystal
Sb 0.000 0.000 0.978
Sb 0.500 0.500 0.193
Cl 0.000 0.000 0.573
Cr 0.500 0.500 0.756

***

Entry 10:
! PBE-GGA LiTb2Si3, optimized geometry; values from VASP
! **Total energy**: -5.22 eV/atom
! **M_tot**: 0.000 μB/atom
! **Formation energy from raw total energies**: -0.651 eV per atom
&SYSTEM
  ibrav = 0, nat = 12, ntyp = 3
/
ATOMIC_SPECIES
Li 6.94 Li.upf
Tb 158.93 Tb.upf
Si 28.09 Si.upf
CELL_PARAMETERS angstrom
5.449 0.811 -1.509
-1.395 5.330 -1.509
-0.550 -0.833 8.046
ATOMIC_POSITIONS crystal
Li 0.334 0.334 0.667
Li 0.666 0.666 0.333
Tb 0.250 0.750 0.500
Tb 0.757 0.757 0.000
Tb 0.750 0.250 0.500
Tb 0.243 0.243 0.000
Si 0.663 0.170 0.833
Si 0.830 0.337 0.167
Si 0.337 0.830 0.167
Si 0.170 0.663 0.833
Si 0.834 0.834 0.668
Si 0.166 0.166 0.332

***

Entry 11:
! PBE-GGA Hg2H4Pd7, optimized geometry; values from VASP
! **Total energy**: -4.00 eV/atom
! **M_tot**: 0.000 μB/atom
&SYSTEM
  ibrav = 0, nat = 13, ntyp = 3
/
ATOMIC_SPECIES
Hg 200.59 Hg.upf
H 1.01 H.upf
Pd 106.42 Pd.upf
CELL_PARAMETERS angstrom
-1.550 2.214 -4.361
-1.468 -4.793 1.106
-5.707 2.502 3.292
ATOMIC_POSITIONS crystal
Hg 0.667 0.333 0.000
Hg 0.333 0.667 0.000
H 0.000 0.000 0.738
H 0.000 0.000 0.262
H 0.666 0.334 0.518
H 0.334 0.666 0.482
Pd 0.000 0.659 0.664
Pd 0.000 0.341 0.336
Pd 0.000 0.000 0.000
Pd 0.658 0.000 0.664
Pd 0.342 0.000 0.336
Pd 0.659 0.658 0.336
Pd 0.341 0.342 0.664

***

Entry 12:
! PBE-GGA Y6Mg5Tl, optimized geometry; values from VASP
! **Total energy**: -4.26 eV/atom
! **M_tot**: 0.000 μB/atom
! **Energy of formation from the pure elements**: -0.171 eV/atom
&SYSTEM
  ibrav = 0, nat = 12, ntyp = 3
/
ATOMIC_SPECIES
Y 88.91 Y.upf
Mg 24.30 Mg.upf
Tl 204.38 Tl.upf
CELL_PARAMETERS angstrom
-0.420 4.867 -2.225
-6.106 1.418 4.255
4.532 5.481 4.678
ATOMIC_POSITIONS crystal
Y 0.833 0.748 0.334
Y 0.833 0.252 0.334
Y 0.500 0.251 0.000
Y 0.500 0.749 0.000
Y 0.167 0.748 0.666
Y 0.167 0.252 0.666
Mg 0.666 0.500 0.666
Mg 0.329 0.000 0.343
Mg 0.000 0.500 0.000
Mg 0.671 0.000 0.657
Mg 0.334 0.500 0.334
Tl 0.000 0.000 0.000